[1]
{
  "formula": "ZnCr2Fe",
  "functional": "PBE-GGA",
  "state": "relaxed",
  "lattice": [[4.914, 0.000, 0.000], [0.000, 8.264, 0.000], [-0.632, 0.000, 2.350]],
  "species": ["Zn", "Zn", "Cr", "Cr", "Cr", "Cr", "Fe", "Fe"],
  "frac_coords": [[0.000, 0.000, 0.000], [0.500, 0.500, 0.000], [0.250, 0.250, 0.500], [0.250, 0.750, 0.500], [0.750, 0.250, 0.500], [0.750, 0.750, 0.500], [0.000, 0.500, 0.000], [0.500, 0.000, 0.000]],
  "space_group": "C2/m, No. 12",
  "formation_enthalpy_0k_ev_per_atom": 0.203
}

[2]
{
  "formula": "NaPPt2",
  "functional": "PBE-GGA",
  "state": "relaxed",
  "lattice": [[3.919, 0.000, 0.000], [0.000, 9.864, 0.000], [0.000, 0.000, 6.896]],
  "species": ["Na", "Na", "Na", "Na", "P", "P", "P", "P", "Pt", "Pt", "Pt", "Pt", "Pt", "Pt", "Pt", "Pt"],
  "frac_coords": [[0.000, 0.053, 0.250], [0.000, 0.947, 0.750], [0.500, 0.447, 0.750], [0.500, 0.553, 0.250], [0.000, 0.226, 0.750], [0.000, 0.774, 0.250], [0.500, 0.274, 0.250], [0.500, 0.726, 0.750], [0.000, 0.349, 0.048], [0.000, 0.349, 0.452], [0.000, 0.651, 0.548], [0.000, 0.651, 0.952], [0.500, 0.151, 0.548], [0.500, 0.151, 0.952], [0.500, 0.849, 0.048], [0.500, 0.849, 0.452]],
  "space_group": "Cmcm, No. 63",
  "formation_enthalpy_0k_ev_per_atom": -0.380
}

[3]
{
  "formula": "RbUHg2Br6",
  "functional": "PBE-GGA",
  "state": "relaxed",
  "lattice": [[8.938, 0.000, 0.000], [0.000, 12.353, 0.000], [0.000, 0.000, 8.582]],
  "species": ["Rb", "Rb", "U", "U", "Hg", "Hg", "Hg", "Hg", "Br", "Br", "Br", "Br", "Br", "Br", "Br", "Br", "Br", "Br", "Br", "Br"],
  "frac_coords": [[0.250, 0.250, 0.230], [0.750, 0.750, 0.770], [0.250, 0.750, 0.268], [0.750, 0.250, 0.732], [0.250, 0.007, 0.764], [0.250, 0.493, 0.764], [0.750, 0.507, 0.236], [0.750, 0.993, 0.236], [0.036, 0.750, 0.490], [0.038, 0.750, 0.045], [0.250, 0.532, 0.269], [0.250, 0.968, 0.269], [0.462, 0.750, 0.045], [0.464, 0.750, 0.490], [0.536, 0.250, 0.510], [0.538, 0.250, 0.955], [0.750, 0.032, 0.731], [0.750, 0.468, 0.731], [0.962, 0.250, 0.955], [0.964, 0.250, 0.510]],
  "space_group": "Pmmn, No. 59",
  "formation_energy_uncorrected_ev_per_atom": -1.0812
}

[4]
{
  "formula": "Pm4In3Pt",
  "functional": "PBE-GGA",
  "state": "relaxed",
  "lattice": [[3.654, 0.000, 0.000], [0.000, 3.654, 0.000], [0.000, 0.000, 16.246]],
  "species": ["Pm", "Pm", "Pm", "Pm", "In", "In", "In", "Pt"],
  "frac_coords": [[0.000, 0.000, 0.106], [0.000, 0.000, 0.369], [0.000, 0.000, 0.631], [0.000, 0.000, 0.894], [0.500, 0.500, 0.239], [0.500, 0.500, 0.500], [0.500, 0.500, 0.761], [0.500, 0.500, 0.000]],
  "relative_energy_ev_per_atom": 0.0000,
  "space_group": "P4/mmm, No. 123",
  "formation_enthalpy_0k_ev_per_atom": -0.639
}

[5]
{
  "formula": "Al3GaAu",
  "functional": "PBE-GGA",
  "state": "relaxed",
  "lattice": [[4.886, 0.000, 0.000], [0.000, 4.886, 0.000], [0.000, 0.000, 4.886]],
  "species": ["Al", "Al", "Al", "Ga", "Au"],
  "frac_coords": [[0.000, 0.000, 0.500], [0.000, 0.500, 0.000], [0.500, 0.000, 0.000], [0.500, 0.500, 0.500], [0.000, 0.000, 0.000]],
  "relative_energy_ev_per_atom": 0.0000,
  "space_group": "Pm-3m, No. 221",
  "formation_enthalpy_0k_ev_per_atom": 0.273
}

[6]
{
  "formula": "Ho6In2Pt",
  "functional": "PBE-GGA",
  "state": "relaxed",
  "lattice": [[8.675, 0.000, 0.000], [-4.338, 7.513, 0.000], [0.000, 0.000, 3.794]],
  "species": ["Ho", "Ho", "Ho", "Ho", "Ho", "Ho", "In", "In", "Pt"],
  "frac_coords": [[0.000, 0.394, 0.000], [0.000, 0.754, 0.500], [0.246, 0.246, 0.500], [0.394, 0.000, 0.000], [0.606, 0.606, 0.000], [0.754, 0.000, 0.500], [0.333, 0.667, 0.500], [0.667, 0.333, 0.500], [0.000, 0.000, 0.000]],
  "relative_energy_ev_per_atom": 0.0000,
  "space_group": "P-62m, No. 189",
  "formation_enthalpy_0k_ev_per_atom": -0.532
}